--- 1 ---
A geometry-optimized LaSbP2Cl structure, computed with PBE-GGA.

Properties
Theoretical density   3.60 g/cm3
Symmetry   P4/mmm (123)
Fermi-level density of states   0.94 states/eV/atom

abc: 5.6101 5.6101 5.2491
angles: 90.00 90.00 90.00
Atoms (fractional coordinates):
La1 0.0000 0.0000 0.0000
Sb1 0.5000 0.5000 0.5000
P1 0.0000 0.5000 0.0000
P2 0.5000 0.0000 0.0000
Cl1 0.0000 0.0000 0.5000


--- 2 ---
A geometry-optimized LaSbP2Cl structure, computed with PBE-GGA.

Properties
Theoretical density   4.49 g/cm3
Symmetry   P4/mmm (123)
Fermi-level density of states   0.26 states/eV/atom

abc: 5.1137 5.1137 5.0589
angles: 90.00 90.00 90.00
Atoms (fractional coordinates):
La1 0.0000 0.0000 0.0000
Sb1 0.5000 0.5000 0.5000
P1 0.0000 0.5000 0.5000
P2 0.5000 0.0000 0.5000
Cl1 0.5000 0.5000 0.0000


Most stable structure: 2


--- 1 ---
A geometry-optimized LaScP2Cl structure, computed with PBE-GGA.

Properties
Theoretical density   3.89 g/cm3
Symmetry   P4/mmm (123)
Fermi-level density of states   0.37 states/eV/atom

abc: 4.9791 4.9791 4.8453
angles: 90.00 90.00 90.00
Atoms (fractional coordinates):
La1 0.0000 0.0000 0.0000
Sc1 0.5000 0.5000 0.5000
P1 0.0000 0.5000 0.5000
P2 0.5000 0.0000 0.5000
Cl1 0.5000 0.5000 0.0000


--- 2 ---
A geometry-optimized LaScP2Cl structure, computed with PBE-GGA.

Properties
Theoretical density   3.56 g/cm3
Symmetry   P4/mmm (123)
Fermi-level density of states   0.95 states/eV/atom

abc: 5.1285 5.1285 4.9838
angles: 90.00 90.00 90.00
Atoms (fractional coordinates):
La1 0.0000 0.0000 0.0000
Sc1 0.5000 0.5000 0.0000
P1 0.0000 0.5000 0.5000
P2 0.5000 0.0000 0.5000
Cl1 0.0000 0.0000 0.5000


Most stable structure: 1


--- 1 ---
A geometry-optimized LaScPCl2 structure, computed with PBE-GGA.

Properties
Theoretical density   3.93 g/cm3
Symmetry   P4/mmm (123)
Fermi-level density of states   1.08 states/eV/atom

abc: 4.7911 4.7911 5.2634
angles: 90.00 90.00 90.00
Atoms (fractional coordinates):
La1 0.0000 0.0000 0.0000
Sc1 0.5000 0.5000 0.5000
P1 0.5000 0.5000 0.0000
Cl1 0.0000 0.5000 0.5000
Cl2 0.5000 0.0000 0.5000


--- 2 ---
A geometry-optimized LaScPCl2 structure, computed with PBE-GGA.

Properties
Theoretical density   2.82 g/cm3
Symmetry   P4/mmm (123)
Fermi-level density of states   0.72 states/eV/atom

abc: 5.3416 5.3416 5.9049
angles: 90.00 90.00 90.00
Atoms (fractional coordinates):
La1 0.0000 0.0000 0.0000
Sc1 0.5000 0.5000 0.5000
P1 0.0000 0.0000 0.5000
Cl1 0.0000 0.5000 0.0000
Cl2 0.5000 0.0000 0.0000


Most stable structure: 1


--- 1 ---
A geometry-optimized LaPSeCl2 structure, computed with PBE-GGA.

Properties
Theoretical density   2.97 g/cm3
Symmetry   P4/mmm (123)
Fermi-level density of states   0.89 states/eV/atom

abc: 5.3594 5.3594 6.2337
angles: 90.00 90.00 90.00
Atoms (fractional coordinates):
La1 0.0000 0.0000 0.0000
P1 0.0000 0.0000 0.5000
Se1 0.5000 0.5000 0.5000
Cl1 0.0000 0.5000 0.0000
Cl2 0.5000 0.0000 0.0000


--- 2 ---
A geometry-optimized LaPSeCl2 structure, computed with PBE-GGA.

Properties
Theoretical density   4.15 g/cm3
Symmetry   P4/mmm (123)
Fermi-level density of states   1.19 states/eV/atom

abc: 4.9891 4.9891 5.1345
angles: 90.00 90.00 90.00
Atoms (fractional coordinates):
La1 0.0000 0.0000 0.0000
P1 0.5000 0.5000 0.0000
Se1 0.5000 0.5000 0.5000
Cl1 0.0000 0.5000 0.5000
Cl2 0.5000 0.0000 0.5000


Most stable structure: 1


--- 1 ---
A geometry-optimized LaSiPCl2 structure, computed with PBE-GGA.

Properties
Theoretical density   3.94 g/cm3
Symmetry   P4/mmm (123)
Fermi-level density of states   0.62 states/eV/atom

abc: 4.7954 4.7954 4.9335
angles: 90.00 90.00 90.00
Atoms (fractional coordinates):
La1 0.0000 0.0000 0.0000
Si1 0.5000 0.5000 0.5000
P1 0.5000 0.5000 0.0000
Cl1 0.0000 0.5000 0.5000
Cl2 0.5000 0.0000 0.5000


--- 2 ---
A geometry-optimized LaSiPCl2 structure, computed with PBE-GGA.

Properties
Theoretical density   2.59 g/cm3
Symmetry   P4/mmm (123)
Fermi-level density of states   0.75 states/eV/atom

abc: 5.3948 5.3948 5.9282
angles: 90.00 90.00 90.00
Atoms (fractional coordinates):
La1 0.0000 0.0000 0.0000
Si1 0.5000 0.5000 0.5000
P1 0.0000 0.0000 0.5000
Cl1 0.0000 0.5000 0.0000
Cl2 0.5000 0.0000 0.0000


Most stable structure: 1


--- 1 ---
A geometry-optimized LaSnPCl2 structure, computed with PBE-GGA.

Properties
Theoretical density   4.11 g/cm3
Symmetry   P4/mmm (123)
Fermi-level density of states   1.01 states/eV/atom

abc: 5.1840 5.1840 5.4016
angles: 90.00 90.00 90.00
Atoms (fractional coordinates):
La1 0.0000 0.0000 0.0000
Sn1 0.5000 0.5000 0.5000
P1 0.5000 0.5000 0.0000
Cl1 0.0000 0.5000 0.5000
Cl2 0.5000 0.0000 0.5000


--- 2 ---
A geometry-optimized LaSnPCl2 structure, computed with PBE-GGA.

Properties
Theoretical density   3.50 g/cm3
Symmetry   P4/mmm (123)
Fermi-level density of states   0.49 states/eV/atom

abc: 5.3986 5.3986 5.8525
angles: 90.00 90.00 90.00
Atoms (fractional coordinates):
La1 0.0000 0.0000 0.0000
Sn1 0.5000 0.5000 0.5000
P1 0.0000 0.0000 0.5000
Cl1 0.0000 0.5000 0.0000
Cl2 0.5000 0.0000 0.0000


Most stable structure: 2


--- 1 ---
A geometry-optimized SrLaP2Cl structure, computed with PBE-GGA.

Properties
Theoretical density   3.27 g/cm3
Symmetry   P4/mmm (123)
Fermi-level density of states   0.83 states/eV/atom

abc: 5.4790 5.4790 5.4795
angles: 90.00 90.00 90.00
Atoms (fractional coordinates):
Sr1 0.0000 0.0000 0.0000
La1 0.5000 0.5000 0.5000
P1 0.0000 0.5000 0.5000
P2 0.5000 0.0000 0.5000
Cl1 0.5000 0.5000 0.0000


--- 2 ---
A geometry-optimized SrLaP2Cl structure, computed with PBE-GGA.

Properties
Theoretical density   3.55 g/cm3
Symmetry   P4/mmm (123)
Fermi-level density of states   0.43 states/eV/atom

abc: 5.3765 5.3765 5.2381
angles: 90.00 90.00 90.00
Atoms (fractional coordinates):
Sr1 0.0000 0.0000 0.0000
La1 0.5000 0.5000 0.5000
P1 0.0000 0.5000 0.0000
P2 0.5000 0.0000 0.0000
Cl1 0.0000 0.0000 0.5000


Most stable structure: 1


--- 1 ---
A geometry-optimized LaTaPCl2 structure, computed with PBE-GGA.

Properties
Theoretical density   4.20 g/cm3
Symmetry   P4/mmm (123)
Fermi-level density of states   1.73 states/eV/atom

abc: 5.2809 5.2809 5.9839
angles: 90.00 90.00 90.00
Atoms (fractional coordinates):
La1 0.0000 0.0000 0.0000
Ta1 0.5000 0.5000 0.5000
P1 0.0000 0.0000 0.5000
Cl1 0.0000 0.5000 0.0000
Cl2 0.5000 0.0000 0.0000


--- 2 ---
A geometry-optimized LaTaPCl2 structure, computed with PBE-GGA.

Properties
Theoretical density   6.15 g/cm3
Symmetry   P4/mmm (123)
Fermi-level density of states   0.81 states/eV/atom

abc: 4.7889 4.7889 4.9623
angles: 90.00 90.00 90.00
Atoms (fractional coordinates):
La1 0.0000 0.0000 0.0000
Ta1 0.5000 0.5000 0.5000
P1 0.5000 0.5000 0.0000
Cl1 0.0000 0.5000 0.5000
Cl2 0.5000 0.0000 0.5000


Most stable structure: 2


--- 1 ---
A geometry-optimized LaTcP2Cl structure, computed with PBE-GGA.

Properties
Theoretical density   3.40 g/cm3
Symmetry   P4/mmm (123)
Fermi-level density of states   1.05 states/eV/atom

abc: 5.5361 5.5361 5.3298
angles: 90.00 90.00 90.00
Atoms (fractional coordinates):
La1 0.0000 0.0000 0.0000
Tc1 0.5000 0.5000 0.5000
P1 0.0000 0.5000 0.0000
P2 0.5000 0.0000 0.0000
Cl1 0.0000 0.0000 0.5000


--- 2 ---
A geometry-optimized LaTcP2Cl structure, computed with PBE-GGA.

Properties
Theoretical density   5.24 g/cm3
Symmetry   P4/mmm (123)
Fermi-level density of states   0.69 states/eV/atom

abc: 4.6065 4.6065 4.9915
angles: 90.00 90.00 90.00
Atoms (fractional coordinates):
La1 0.0000 0.0000 0.0000
Tc1 0.5000 0.5000 0.5000
P1 0.0000 0.5000 0.5000
P2 0.5000 0.0000 0.5000
Cl1 0.5000 0.5000 0.0000


Most stable structure: 2


--- 1 ---
A geometry-optimized LaTcPCl2 structure, computed with PBE-GGA.

Properties
Theoretical density   5.19 g/cm3
Symmetry   P4/mmm (123)
Fermi-level density of states   0.76 states/eV/atom

abc: 4.8274 4.8274 4.6518
angles: 90.00 90.00 90.00
Atoms (fractional coordinates):
La1 0.0000 0.0000 0.0000
Tc1 0.5000 0.5000 0.5000
P1 0.5000 0.5000 0.0000
Cl1 0.0000 0.5000 0.5000
Cl2 0.5000 0.0000 0.5000


--- 2 ---
A geometry-optimized LaTcPCl2 structure, computed with PBE-GGA.

Properties
Theoretical density   3.31 g/cm3
Symmetry   P4/mmm (123)
Fermi-level density of states   0.60 states/eV/atom

abc: 5.3837 5.3837 5.8679
angles: 90.00 90.00 90.00
Atoms (fractional coordinates):
La1 0.0000 0.0000 0.0000
Tc1 0.5000 0.5000 0.5000
P1 0.0000 0.0000 0.5000
Cl1 0.0000 0.5000 0.0000
Cl2 0.5000 0.0000 0.0000


Most stable structure: 1


--- 1 ---
A geometry-optimized LaTiP2Cl structure, computed with PBE-GGA.

Properties
Theoretical density   4.18 g/cm3
Symmetry   P4/mmm (123)
Fermi-level density of states   0.67 states/eV/atom

abc: 5.1326 5.1326 4.2833
angles: 90.00 90.00 90.00
Atoms (fractional coordinates):
La1 0.0000 0.0000 0.0000
Ti1 0.5000 0.5000 0.0000
P1 0.0000 0.5000 0.5000
P2 0.5000 0.0000 0.5000
Cl1 0.5000 0.5000 0.5000


--- 2 ---
A geometry-optimized LaTiP2Cl structure, computed with PBE-GGA.

Properties
Theoretical density   4.36 g/cm3
Symmetry   P4/mmm (123)
Fermi-level density of states   0.51 states/eV/atom

abc: 4.7894 4.7894 4.7148
angles: 90.00 90.00 90.00
Atoms (fractional coordinates):
La1 0.0000 0.0000 0.0000
Ti1 0.5000 0.5000 0.5000
P1 0.0000 0.5000 0.5000
P2 0.5000 0.0000 0.5000
Cl1 0.5000 0.5000 0.0000


Most stable structure: 2


--- 1 ---
A geometry-optimized LaTlP2Cl structure, computed with PBE-GGA.

Properties
Theoretical density   4.13 g/cm3
Symmetry   P4/mmm (123)
Fermi-level density of states   1.09 states/eV/atom

abc: 5.6290 5.6290 5.5911
angles: 90.00 90.00 90.00
Atoms (fractional coordinates):
La1 0.0000 0.0000 0.0000
Tl1 0.5000 0.5000 0.5000
P1 0.0000 0.5000 0.0000
P2 0.5000 0.0000 0.0000
Cl1 0.0000 0.0000 0.5000


--- 2 ---
A geometry-optimized LaTlP2Cl structure, computed with PBE-GGA.

Properties
Theoretical density   5.39 g/cm3
Symmetry   P4/mmm (123)
Fermi-level density of states   0.75 states/eV/atom

abc: 5.0714 5.0714 5.2820
angles: 90.00 90.00 90.00
Atoms (fractional coordinates):
La1 0.0000 0.0000 0.0000
Tl1 0.5000 0.5000 0.5000
P1 0.0000 0.5000 0.5000
P2 0.5000 0.0000 0.5000
Cl1 0.5000 0.5000 0.0000


Most stable structure: 1